# 1
First-principles (PBE-GGA) data for a relaxed Y2TmNi9 crystal, as listed in Alexandria.

Structure (extended XYZ):
```
12
Lattice="2.478 1.431 8.123 -2.478 1.431 8.123 0.000 -2.861 8.123" Properties=species:S:1:pos:R:3 pbc="T T T"
Y 0.000 0.000 3.374
Y 0.000 0.000 20.995
Tm 0.000 0.000 0.000
Ni -1.241 -0.717 10.105
Ni 0.000 0.000 8.116
Ni 0.000 -1.433 14.264
Ni -1.241 0.717 14.264
Ni 0.000 0.000 12.184
Ni 1.241 -0.717 10.105
Ni 0.000 1.433 10.105
Ni 0.000 0.000 16.252
Ni 1.241 0.717 14.264
```

Summary:
As for the formation energy: -405 meV/atom. The calculation puts the total energy at -6.19 eV/atom. Its size of the total moment is 1.087 Bohr magnetons per cell.



# 2
First-principles (PBE-GGA) data for a relaxed YTmNi crystal, as listed in Alexandria.

Structure (extended XYZ):
```
6
Lattice="3.385 0.000 0.000 0.000 3.385 0.000 0.000 0.000 12.353" Properties=species:S:1:pos:R:3 pbc="T T T"
Y 0.000 0.000 0.000
Y 1.692 1.692 6.176
Tm 0.000 0.000 3.249
Tm 1.692 1.692 9.425
Ni 0.000 0.000 7.876
Ni 1.692 1.692 1.699
```

Summary:
As for the formation energy: -262 meV/atom. The calculation puts the total energy at -5.83 eV/atom. Its size of the total moment is 0.000 Bohr magnetons per cell.



# 3
First-principles (PBE-GGA) data for a relaxed YTm3Ni2 crystal, as listed in Alexandria.

Structure (extended XYZ):
```
12
Lattice="7.915 -1.935 0.000 7.915 1.935 0.000 -6.177 0.000 9.387" Properties=species:S:1:pos:R:3 pbc="T T T"
Y 0.902 0.000 2.280
Y 8.750 0.000 7.106
Tm -2.167 0.000 7.003
Tm 6.219 0.000 0.572
Tm 3.163 0.000 5.237
Tm 6.489 0.000 4.150
Tm 3.433 0.000 8.815
Tm 11.819 0.000 2.384
Ni 0.256 0.000 5.163
Ni 3.355 0.000 0.472
Ni 6.297 0.000 8.914
Ni 9.396 0.000 4.224
```

Summary:
As for the formation energy: -314 meV/atom. The calculation puts the total energy at -5.55 eV/atom. Its size of the total moment is 0.000 Bohr magnetons per cell.



Q: What is the size of the total moment in the third record?
A: 0.000 Bohr magnetons per cell